Entry 1:
# HfGeTe2, optimized geometry, DFT PBE
# Calculated total energy in eV/atom: -4.91
# Density in g/cm³: 6.84
data_HfGeTe2
_cell_length_a 3.9788
_cell_length_b 3.9788
_cell_length_c 26.9033
_cell_angle_alpha 90.00
_cell_angle_beta 90.00
_cell_angle_gamma 120.00
_symmetry_space_group_name_H-M 'R -3 m'
_symmetry_Int_Tables_number 166
_symmetry_space_group_name_Hall '-R 3 2"'
loop_
_atom_site_label
_atom_site_type_symbol
_atom_site_fract_x
_atom_site_fract_y
_atom_site_fract_z
Hf1 Hf 0.0000 0.0000 0.0000
Ge1 Ge 0.0000 0.0000 0.5000
Te1 Te 0.0000 0.0000 0.1017

=====

Entry 2:
# Hf4GeTe, optimized geometry, DFT PBE
# Calculated total energy in eV/atom: -7.73
# Density in g/cm³: 9.74
data_Hf4GeTe
_cell_length_a 8.893
_cell_length_b 8.893
_cell_length_c 7.881
_cell_angle_alpha 90.00
_cell_angle_beta 90.00
_cell_angle_gamma 90.00
_symmetry_space_group_name_H-M 'I 41 m d'
_symmetry_Int_Tables_number 109
_symmetry_space_group_name_Hall 'I 4bw -2'
loop_
_atom_site_label
_atom_site_type_symbol
_atom_site_fract_x
_atom_site_fract_y
_atom_site_fract_z
Hf1 Hf 0.000 0.278 0.000
Hf2 Hf 0.000 0.310 0.438
Ge1 Ge 0.000 0.000 0.946
Te1 Te 0.000 0.000 0.485

=====

Entry 3:
# HfGe3Te, optimized geometry, DFT PBE
# Calculated total energy in eV/atom: -4.16
# Density in g/cm³: 6.25
data_HfGe3Te
_cell_length_a 5.182
_cell_length_b 5.182
_cell_length_c 5.182
_cell_angle_alpha 90.00
_cell_angle_beta 90.00
_cell_angle_gamma 90.00
_symmetry_space_group_name_H-M 'P m -3 m'
_symmetry_Int_Tables_number 221
_symmetry_space_group_name_Hall '-P 4 2 3'
loop_
_atom_site_label
_atom_site_type_symbol
_atom_site_fract_x
_atom_site_fract_y
_atom_site_fract_z
Hf1 Hf 0.000 0.000 0.000
Ge1 Ge 0.000 0.500 0.500
Te1 Te 0.500 0.500 0.500